1.
LiBeAl2 | SCAN | single point on PBEsol structure

Output
space-group type: Pmm2
ΔE_f: 10 kJ/mol of atoms

```
LiBeAl2
1.0
2.836 0.000 0.000
0.000 3.744 0.000
0.000 0.000 5.260
Li Be Al
1 1 2
Cartesian
0.000 0.000 0.000
1.418 1.872 3.913
0.000 0.000 2.758
1.418 1.872 1.321
```

=====

2.
Mg2BeAl | SCAN | single point on PBEsol structure

Output
space-group type: Cmmm
ΔE_f: 24 kJ/mol of atoms

```
Mg2BeAl
1.0
2.868 -4.084 0.000
2.868 4.084 0.000
0.000 0.000 2.910
Mg Be Al
2 1 1
Cartesian
1.434 2.042 0.000
1.434 -2.042 0.000
0.000 0.000 1.455
2.868 0.000 1.455
```

=====

Which of these has the lowest ΔE_f?
LiBeAl2

=====

Which formula does entry 1 have?
LiBeAl2

=====

The highest ΔE_f belongs to which entry?
Mg2BeAl